[1]
Below is a relaxed structure of Tl2CrRe2, with properties calculated at the PBE level.

```
10
Lattice="-6.427 -0.400 0.005 0.333 -5.392 -3.504 0.159 -2.515 3.885" Properties=species:S:1:pos:R:3 pbc="T T T"
Cr -3.047 -2.896 -1.750
Cr 0.000 0.000 0.000
Re -0.745 -2.023 -1.279
Tl -5.078 -3.305 0.829
Tl -0.857 -5.002 -0.443
Re -4.035 -0.981 -0.470
Tl -4.025 -5.946 -0.924
Re -2.059 -4.811 -3.030
Re -5.349 -3.769 -2.221
Tl -1.910 -2.361 1.310
```

Electronic total energy: -6.888 eV per atom
Total moment: 0.199 μB per atom
Volume: 19.2 A^3/atom
E above lowest polymorph: 0 meV/atom

=====

[2]
Below is a relaxed structure of Tl2CrRe2, with properties calculated at the PBE level.

```
5
Lattice="4.011 0.000 0.000 0.000 4.011 0.000 2.006 2.006 6.631" Properties=species:S:1:pos:R:3 pbc="T T T"
Cr 0.000 0.000 0.000
Tl 2.006 4.011 3.315
Re 4.011 4.011 5.495
Re 2.006 2.006 1.136
Tl 4.011 2.006 3.315
```

Electronic total energy: -6.399 eV per atom
Total moment: 0.504 μB per atom
Volume: 21.3 A^3/atom
E above lowest polymorph: 489 meV/atom

=====

[3]
Below is a relaxed structure of Tl2CrRe2, with properties calculated at the PBE level.

```
10
Lattice="8.220 0.000 0.000 0.000 8.220 0.000 0.000 0.000 3.023" Properties=species:S:1:pos:R:3 pbc="T T T"
Re 3.276 0.834 1.511
Tl 2.554 6.664 0.000
Tl 6.664 5.666 0.000
Cr 4.110 4.110 0.000
Re 4.944 7.386 1.511
Cr 0.000 0.000 0.000
Tl 5.666 1.556 0.000
Tl 1.556 2.554 0.000
Re 0.834 4.944 1.511
Re 7.386 3.276 1.511
```

Electronic total energy: -6.619 eV per atom
Total moment: 0.869 μB per atom
Volume: 20.4 A^3/atom
E above lowest polymorph: 269 meV/atom

=====

[4]
Below is a relaxed structure of TlVCrRe2, with properties calculated at the PBE level.

```
5
Lattice="-3.072 2.459 -2.282 -2.440 0.252 3.557 2.157 3.818 1.209" Properties=species:S:1:pos:R:3 pbc="T T T"
Re 1.079 1.909 0.604
Tl -1.677 3.265 1.242
Re -1.536 1.229 -1.141
V -1.220 0.126 1.778
Cr 0.000 0.000 0.000
```

Electronic total energy: -7.883 eV per atom
Total moment: 0.000 μB per atom
Volume: 17.9 A^3/atom

=====

[5]
Below is a relaxed structure of Tm2CrRe3, with properties calculated at the PBE level.

```
6
Lattice="4.731 -0.134 -2.480 -3.006 4.411 -0.236 -0.226 0.118 5.316" Properties=species:S:1:pos:R:3 pbc="T T T"
Re 2.252 -0.008 1.418
Tm 2.392 1.569 -1.283
Cr 0.000 0.000 0.000
Re -0.113 0.059 2.658
Re 0.750 2.198 1.300
Tm -0.893 2.826 3.883
```

Electronic total energy: -9.505 eV per atom
Total moment: 0.000 μB per atom
Volume: 17.9 A^3/atom

=====

[6]
Below is a relaxed structure of UCrRe, with properties calculated at the PBE level.

```
3
Lattice="-1.864 2.633 -0.819 -1.492 -1.794 -2.373 -1.371 -1.684 4.469" Properties=species:S:1:pos:R:3 pbc="T T T"
Re -4.424 -0.719 0.991
Cr -2.481 0.086 -0.839
U -1.633 -0.677 1.539
```

Electronic total energy: -10.682 eV per atom
Total moment: 0.000 μB per atom
Volume: 16.2 A^3/atom
E above lowest polymorph: 275 meV/atom

=====

[7]
Below is a relaxed structure of UCrRe, with properties calculated at the PBE level.

```
3
Lattice="2.811 0.000 0.000 -1.405 2.434 0.000 0.000 0.000 7.033" Properties=species:S:1:pos:R:3 pbc="T T T"
U 1.405 0.811 2.432
Re 0.000 0.000 6.774
Cr 0.000 1.623 4.860
```

Electronic total energy: -10.795 eV per atom
Total moment: 0.000 μB per atom
Volume: 16.0 A^3/atom
E above lowest polymorph: 162 meV/atom

=====

[8]
Below is a relaxed structure of UCrRe, with properties calculated at the PBE level.

```
6
Lattice="-3.113 -1.443 2.751 3.488 0.618 4.271 0.865 4.049 3.102" Properties=species:S:1:pos:R:3 pbc="T T T"
U -1.946 -0.826 2.637
U 3.186 4.050 7.487
Re 0.331 0.884 2.596
Cr 1.858 2.199 5.013
Re 0.909 2.340 7.528
Cr -0.618 1.025 5.111
```

Electronic total energy: -10.957 eV per atom
Total moment: 0.000 μB per atom
Volume: 15.9 A^3/atom
E above lowest polymorph: 0 meV/atom

=====

[9]
Below is a relaxed structure of U2CrRe, with properties calculated at the PBE level.

```
4
Lattice="-0.933 -0.642 -2.729 -2.449 -1.607 -0.384 -6.235 7.055 -1.129" Properties=species:S:1:pos:R:3 pbc="T T T"
Cr -4.808 2.403 -2.121
U -6.073 4.336 -2.144
U -3.544 0.470 -2.098
Re 0.000 0.000 0.000
```

Electronic total energy: -10.686 eV per atom
Total moment: 0.000 μB per atom
Volume: 17.6 A^3/atom

=====

[10]
Below is a relaxed structure of V3Cr3Re2, with properties calculated at the PBE level.

```
16
Lattice="2.912 0.000 0.000 -1.456 6.273 0.000 0.000 0.000 12.446" Properties=species:S:1:pos:R:3 pbc="T T T"
Re 0.000 3.163 5.118
Cr 1.456 3.151 3.111
Cr 0.000 1.032 7.211
V 1.456 0.954 9.334
Cr 1.456 5.241 0.988
V 0.000 5.320 11.313
V 0.000 5.320 7.356
Re 1.456 3.110 11.341
Cr 0.000 1.032 11.458
Re 1.456 3.110 7.328
V 0.000 5.319 3.111
V 1.456 0.953 5.090
V 1.456 0.953 1.133
Re 0.000 3.163 1.105
Cr 0.000 3.122 9.334
Cr 1.456 5.241 5.235
```

Electronic total energy: -9.933 eV per atom
Total moment: 0.054 μB per atom
Volume: 14.2 A^3/atom

=====

[11]
Below is a relaxed structure of V2Cr3Re2, with properties calculated at the PBE level.

```
7
Lattice="-0.852 3.675 1.537 -0.487 -4.352 4.748 3.583 -0.068 2.143" Properties=species:S:1:pos:R:3 pbc="T T T"
Cr 0.000 0.000 0.000
V 2.503 1.170 3.989
Cr 0.033 0.583 4.029
Re 1.106 -0.111 6.281
Re 1.137 -0.633 2.148
Cr 2.210 -1.327 4.400
V -0.259 -1.914 4.440
```

Electronic total energy: -10.106 eV per atom
Total moment: 0.000 μB per atom
Volume: 14.0 A^3/atom

=====

[12]
Below is a relaxed structure of V3Cr4Re, with properties calculated at the PBE level.

```
8
Lattice="-0.467 -0.980 -2.726 1.209 -2.575 0.718 -10.549 -4.045 3.262" Properties=species:S:1:pos:R:3 pbc="T T T"
Cr -3.960 -1.518 1.224
V -7.507 -4.798 1.432
Cr -1.354 -0.519 0.419
Cr -9.195 -3.525 2.843
Cr -6.590 -2.527 2.038
Re 0.371 -1.778 -1.004
V -4.904 -3.800 0.627
V -2.301 -2.802 -0.178
```

Electronic total energy: -9.897 eV per atom
Total moment: 0.000 μB per atom
Volume: 12.7 A^3/atom

=====

[13]
Below is a relaxed structure of V2CrRe, with properties calculated at the PBE level.

```
8
Lattice="6.651 0.000 0.000 0.000 6.651 0.000 3.326 3.326 2.565" Properties=species:S:1:pos:R:3 pbc="T T T"
Re 0.000 0.000 0.000
Cr 3.326 3.326 0.000
Re 6.651 3.326 1.283
V 1.750 4.988 0.641
Cr 3.326 6.651 1.283
V 4.902 1.663 0.641
V 4.988 5.075 1.924
V 8.314 8.227 1.924
```

Electronic total energy: -9.510 eV per atom
Total moment: 0.000 μB per atom
Volume: 14.2 A^3/atom
E above lowest polymorph: 817 meV/atom

=====

[14]
Below is a relaxed structure of V3Cr6Re, with properties calculated at the PBE level.

```
20
Lattice="2.488 -0.610 0.026 -1.321 12.365 -1.650 0.156 1.077 8.172" Properties=species:S:1:pos:R:3 pbc="T T T"
Re 1.286 7.308 6.221
Cr 1.722 1.747 2.860
Cr 1.529 4.738 6.589
V 0.374 3.571 4.733
Cr -0.206 8.094 -0.041
Cr 1.016 9.818 5.926
V 0.585 0.599 0.965
Cr -0.483 10.505 -0.377
Cr 0.661 1.112 5.023
Cr -0.398 11.085 3.688
V -0.129 8.601 4.004
Cr 1.807 2.328 6.925
Cr 1.205 6.773 2.195
V 1.452 4.231 2.543
V 0.738 12.233 5.583
Cr 0.119 6.059 4.352
Cr 0.307 3.014 0.621
V 0.950 9.261 1.815
Re 0.038 5.524 0.326
Cr 0.662 11.720 1.524
```

Electronic total energy: -9.820 eV per atom
Total moment: 0.000 μB per atom
Volume: 12.5 A^3/atom

=====

[15]
Below is a relaxed structure of V3CrRe, with properties calculated at the PBE level.

```
5
Lattice="4.221 0.000 0.000 0.000 4.221 0.000 0.000 0.000 4.221" Properties=species:S:1:pos:R:3 pbc="T T T"
V 0.000 0.000 2.110
Cr 0.000 0.000 0.000
V 2.110 0.000 0.000
Re 2.110 2.110 2.110
V 0.000 2.110 0.000
```

Electronic total energy: -8.847 eV per atom
Total moment: 0.001 μB per atom
Volume: 15.0 A^3/atom
E above lowest polymorph: 1268 meV/atom

=====

[16]
Below is a relaxed structure of V2Cr5Re, with properties calculated at the PBE level.

```
16
Lattice="-2.147 1.226 -3.361 -3.700 -3.114 1.227 -4.161 6.997 5.211" Properties=species:S:1:pos:R:3 pbc="T T T"
Cr -5.716 0.679 1.309
Cr -3.494 -0.278 2.130
Cr 0.000 0.000 0.000
V -6.117 2.900 2.376
V -4.676 -1.137 -0.018
Cr -7.211 4.671 3.720
Cr -6.247 2.655 4.959
V -5.332 6.246 3.095
Cr -4.292 4.430 1.768
Cr -1.614 1.228 1.479
V -3.891 2.209 0.701
Re -1.850 -1.557 0.613
Cr -3.931 1.941 3.219
Cr -4.367 4.161 4.308
Re -2.081 3.499 2.606
Cr -2.797 0.438 -0.643
```

Electronic total energy: -9.849 eV per atom
Total moment: 0.000 μB per atom
Volume: 12.6 A^3/atom

=====

[17]
Below is a relaxed structure of V2CrRe, with properties calculated at the PBE level.

```
4
Lattice="2.989 0.000 0.000 0.000 4.221 0.000 0.000 0.000 4.221" Properties=species:S:1:pos:R:3 pbc="T T T"
V 0.000 2.111 0.000
Re 1.495 0.000 0.000
V 0.000 0.000 2.111
Cr 1.495 2.111 2.111
```

Electronic total energy: -10.321 eV per atom
Total moment: 0.000 μB per atom
Volume: 13.3 A^3/atom
E above lowest polymorph: 5 meV/atom

=====

[18]
Below is a relaxed structure of V8CrRe2, with properties calculated at the PBE level.

```
11
Lattice="-1.671 0.843 3.826 -6.248 1.134 -2.978 3.186 -6.063 0.357" Properties=species:S:1:pos:R:3 pbc="T T T"
V -5.046 -1.912 0.589
Cr -0.836 0.422 1.913
V 0.382 -4.702 1.203
V -1.250 -0.256 -0.490
Re -3.561 -0.876 -1.362
V -2.613 -1.192 1.492
V -5.115 0.616 0.002
V -3.482 -3.830 1.694
V 0.314 -2.174 0.616
V -2.119 -2.894 -0.288
Re -1.172 -3.211 2.567
```

Electronic total energy: -9.635 eV per atom
Total moment: 0.000 μB per atom
Volume: 14.0 A^3/atom
E above lowest polymorph: 0 meV/atom

=====

[19]
Below is a relaxed structure of V4Cr3Re2, with properties calculated at the PBE level.

```
9
Lattice="2.092 3.619 -0.132 -2.092 3.619 -0.132 0.000 0.278 7.783" Properties=species:S:1:pos:R:3 pbc="T T T"
Re 0.000 2.475 1.671
Re 0.000 5.040 5.848
Cr 0.000 0.000 0.000
Cr 0.000 2.566 4.199
V 0.000 7.331 2.337
V 0.000 4.856 0.683
V 0.000 2.660 6.835
Cr 0.000 4.950 3.319
V 0.000 0.185 5.182
```

Electronic total energy: -10.246 eV per atom
Total moment: 0.000 μB per atom
Volume: 13.1 A^3/atom

=====

[20]
Below is a relaxed structure of VCr4Re5, with properties calculated at the PBE level.

```
10
Lattice="-0.215 -0.569 -2.936 -1.142 -2.705 0.608 -13.832 5.817 -0.113" Properties=species:S:1:pos:R:3 pbc="T T T"
Cr -11.041 4.643 -0.090
Re -13.107 3.590 -1.266
Re -10.342 2.427 -1.243
Cr -8.293 3.488 -0.068
Cr -2.791 1.174 -0.023
Re -4.848 0.116 -1.198
Cr -5.539 2.329 -0.045
V 0.000 0.000 0.000
Re -7.595 1.271 -1.220
Re -2.082 -1.047 -1.175
```

Electronic total energy: -11.014 eV per atom
Total moment: 0.000 μB per atom
Volume: 13.5 A^3/atom

=====

[21]
Below is a relaxed structure of V6Cr5Re, with properties calculated at the PBE level.

```
12
Lattice="3.983 0.018 -1.160 -0.807 5.164 -2.689 -0.058 0.394 7.197" Properties=species:S:1:pos:R:3 pbc="T T T"
Cr 2.506 1.011 1.189
V 0.313 2.313 1.101
Cr 1.019 1.988 3.511
V 2.806 3.263 2.247
V 1.727 1.723 5.930
Re 0.000 0.000 0.000
Cr 2.100 3.588 -0.163
Cr -0.403 2.582 -1.345
V 1.391 3.853 -2.582
Cr 0.613 4.565 2.159
V -0.086 4.867 -0.229
V 3.205 0.709 3.578
```

Electronic total energy: -9.751 eV per atom
Total moment: 0.000 μB per atom
Volume: 12.7 A^3/atom

=====

[22]
Below is a relaxed structure of V3CrRe, with properties calculated at the PBE level.

```
10
Lattice="5.317 0.000 0.000 2.658 4.605 0.000 2.658 1.535 6.228" Properties=species:S:1:pos:R:3 pbc="T T T"
V 3.996 2.307 1.869
Cr 2.658 1.535 0.010
Cr 7.975 4.605 6.217
V 6.637 3.832 4.358
V 5.317 4.595 1.869
Re 2.658 1.535 3.915
V 5.317 1.545 4.358
V 3.996 3.832 4.358
V 6.637 2.307 1.869
Re 7.975 4.605 2.313
```

Electronic total energy: -9.364 eV per atom
Total moment: 0.000 μB per atom
Volume: 15.2 A^3/atom
E above lowest polymorph: 751 meV/atom

=====

[23]
Below is a relaxed structure of V4CrRe2, with properties calculated at the PBE level.

```
7
Lattice="4.221 0.000 0.000 0.000 4.221 0.000 2.111 2.111 6.234" Properties=species:S:1:pos:R:3 pbc="T T T"
Cr 0.000 0.000 0.000
V 2.111 2.111 3.877
Re 4.221 4.221 4.695
V 4.221 4.221 2.357
Re 2.111 2.111 1.539
V 0.000 2.111 0.000
V 2.111 0.000 0.000
```

Electronic total energy: -9.215 eV per atom
Total moment: 0.000 μB per atom
Volume: 15.9 A^3/atom
E above lowest polymorph: 813 meV/atom

=====

[24]
Below is a relaxed structure of V6CrRe2, with properties calculated at the PBE level.

```
9
Lattice="4.258 0.152 0.201 1.993 3.766 0.201 -0.356 -0.223 7.717" Properties=species:S:1:pos:R:3 pbc="T T T"
Re 4.147 2.599 0.714
Re 1.749 1.096 7.404
V 4.027 2.524 3.303
V 1.984 1.243 2.299
V 6.188 3.878 1.763
V 1.868 1.171 4.815
Cr -0.178 -0.111 3.858
V -0.293 -0.184 6.355
V 3.912 2.452 5.820
```

Electronic total energy: -10.106 eV per atom
Total moment: 0.000 μB per atom
Volume: 13.5 A^3/atom
E above lowest polymorph: 0 meV/atom

=====

no.,calculated formation energy (eV per atom)
1,0.96
2,1.45
3,1.23
4,1.32
5,-0.19
6,0.44
7,0.33
8,0.16
9,0.48
10,0.21
11,0.18
12,-0.11
13,0.57
14,-0.07
15,1.04
16,0.00
17,-0.24
18,0.14
19,-0.22
20,-0.03
21,-0.14
22,0.52
23,0.93
24,-0.19